The following is a PBE-GGA calculation of an optimized crystal structure of K2YCd, from Alexandria.

a = 4.8218 Å, b = 4.8218 Å, c = 6.5033 Å
α = 90.00°, β = 90.00°, γ = 90.00°
Last column: nearest neighbours and their distance in Å.
Space group P4/mmm (No. 123)
Inequivalent atoms, fractional coordinates:
1 K 0.0000 0.5000 0.0000  4 K 3.41
2 Y 0.0000 0.0000 0.5000  4 Cd 3.41
3 Cd 0.5000 0.5000 0.5000  4 Y 3.41

Summary:
ΔH_f (0 K)	0.324	eV per atom
final energy	-2.0693	eV/atom